# Tl2BiF | Alexandria | PBE | optimized geometry
# uncorrected energy: -3.192 eV per atom
# relative energy among the computed polymorphs: 204 meV per atom
# volume: 267.4 Å³ per cell
# energy relative to the elements, uncorrected: -570 meV/atom
# D(E_F): 0.214 states/eV per cell
# spin magnetization: 0.00 μB per formula unit
data_Tl2BiF
_chemical_formula_sum 'Tl4 Bi2 F2'
_space_group_name_H-M_alt 'P 1'
_space_group_IT_number 1
_space_group_name_Hall 'P 1'
_cell_length_a 5.955
_cell_length_b 5.955
_cell_length_c 8.636
_cell_angle_alpha 69.83
_cell_angle_beta 69.83
_cell_angle_gamma 90.00
loop_
_atom_site_label
_atom_site_type_symbol
_atom_site_fract_x
_atom_site_fract_y
_atom_site_fract_z
F1 F 0.250 0.750 0.500
F2 F 0.500 0.500 0.000
Bi1 Bi 0.750 0.250 0.500
Bi2 Bi 0.000 0.000 0.000
Tl1 Tl 0.542 0.125 0.250
Tl2 Tl 0.208 0.625 0.250
Tl3 Tl 0.375 0.458 0.750
Tl4 Tl 0.875 0.792 0.750

# Tl2BiF | Alexandria | PBE | optimized geometry
# uncorrected energy: -3.223 eV per atom
# relative energy among the computed polymorphs: 172 meV per atom
# volume: 103.4 Å³ per cell
# energy relative to the elements, uncorrected: -602 meV/atom
# D(E_F): 0.783 states/eV per cell
# spin magnetization: 0.00 μB per formula unit
data_Tl2BiF
_chemical_formula_sum 'Tl2 Bi1 F1'
_space_group_name_H-M_alt 'P 1'
_space_group_IT_number 1
_space_group_name_Hall 'P 1'
_cell_length_a 5.269
_cell_length_b 5.269
_cell_length_c 5.269
_cell_angle_alpha 60.00
_cell_angle_beta 60.00
_cell_angle_gamma 60.00
loop_
_atom_site_label
_atom_site_type_symbol
_atom_site_fract_x
_atom_site_fract_y
_atom_site_fract_z
Tl1 Tl 0.750 0.750 0.750
Tl2 Tl 0.250 0.250 0.250
F1 F 0.000 0.000 0.000
Bi1 Bi 0.500 0.500 0.500

# TlBiF6 | Alexandria | PBE | optimized geometry
# uncorrected energy: -4.306 eV per atom
# volume: 293.7 Å³ per cell
# energy relative to the elements, uncorrected: -2122 meV/atom
# D(E_F): 0.000 states/eV per cell
# spin magnetization: 0.00 μB per formula unit
data_TlBiF6
_chemical_formula_sum 'Tl2 Bi2 F12'
_space_group_name_H-M_alt 'P 1'
_space_group_IT_number 1
_space_group_name_Hall 'P 1'
_cell_length_a 5.635
_cell_length_b 5.635
_cell_length_c 10.683
_cell_angle_alpha 90.00
_cell_angle_beta 90.00
_cell_angle_gamma 120.00
loop_
_atom_site_label
_atom_site_type_symbol
_atom_site_fract_x
_atom_site_fract_y
_atom_site_fract_z
F1 F 0.673 0.700 0.123
F2 F 0.974 0.300 0.623
F3 F 0.974 0.673 0.877
F4 F 0.673 0.974 0.377
F5 F 0.300 0.974 0.123
F6 F 0.026 0.700 0.377
F7 F 0.700 0.673 0.623
F8 F 0.327 0.026 0.623
F9 F 0.300 0.327 0.377
F10 F 0.700 0.026 0.877
F11 F 0.026 0.327 0.123
F12 F 0.327 0.300 0.877
Bi1 Bi 0.333 0.667 0.250
Bi2 Bi 0.667 0.333 0.750
Tl1 Tl 0.000 0.000 0.000
Tl2 Tl 0.000 0.000 0.500

# TlBiF3 | Alexandria | PBE | optimized geometry
# uncorrected energy: -4.138 eV per atom
# relative energy among the computed polymorphs: 82 meV per atom
# volume: 108.7 Å³ per cell
# energy relative to the elements, uncorrected: -1766 meV/atom
# D(E_F): 3.184 states/eV per cell
# spin magnetization: 0.00 μB per formula unit
data_TlBiF3
_chemical_formula_sum 'Tl1 Bi1 F3'
_space_group_name_H-M_alt 'P 1'
_space_group_IT_number 1
_space_group_name_Hall 'P 1'
_cell_length_a 4.772
_cell_length_b 4.772
_cell_length_c 4.772
_cell_angle_alpha 90.00
_cell_angle_beta 90.00
_cell_angle_gamma 90.00
loop_
_atom_site_label
_atom_site_type_symbol
_atom_site_fract_x
_atom_site_fract_y
_atom_site_fract_z
Bi1 Bi 0.000 0.000 0.000
Tl1 Tl 0.500 0.500 0.500
F1 F 0.500 0.000 0.000
F2 F 0.000 0.000 0.500
F3 F 0.000 0.500 0.000

# TlBi3F10 | Alexandria | PBE | optimized geometry
# uncorrected energy: -4.726 eV per atom
# volume: 449.5 Å³ per cell
# energy relative to the elements, uncorrected: -2389 meV/atom
# D(E_F): 0.000 states/eV per cell
# spin magnetization: 0.00 μB per formula unit
data_TlBi3F10
_chemical_formula_sum 'Tl2 Bi6 F20'
_space_group_name_H-M_alt 'P 1'
_space_group_IT_number 1
_space_group_name_Hall 'P 1'
_cell_length_a 8.599
_cell_length_b 8.599
_cell_length_c 8.599
_cell_angle_alpha 60.00
_cell_angle_beta 60.00
_cell_angle_gamma 60.00
loop_
_atom_site_label
_atom_site_type_symbol
_atom_site_fract_x
_atom_site_fract_y
_atom_site_fract_z
F1 F 0.172 0.500 0.500
F2 F 0.828 0.172 0.500
F3 F 0.113 0.113 0.113
F4 F 0.887 0.887 0.338
F5 F 0.113 0.662 0.113
F6 F 0.500 0.828 0.172
F7 F 0.172 0.828 0.500
F8 F 0.113 0.113 0.662
F9 F 0.500 0.172 0.828
F10 F 0.338 0.887 0.887
F11 F 0.887 0.887 0.887
F12 F 0.172 0.500 0.828
F13 F 0.887 0.338 0.887
F14 F 0.828 0.500 0.172
F15 F 0.500 0.172 0.500
F16 F 0.500 0.828 0.500
F17 F 0.662 0.113 0.113
F18 F 0.500 0.500 0.172
F19 F 0.828 0.500 0.500
F20 F 0.500 0.500 0.828
Bi1 Bi 0.241 0.759 0.759
Bi2 Bi 0.241 0.759 0.241
Bi3 Bi 0.759 0.759 0.241
Bi4 Bi 0.759 0.241 0.759
Bi5 Bi 0.759 0.241 0.241
Bi6 Bi 0.241 0.241 0.759
Tl1 Tl 0.750 0.750 0.750
Tl2 Tl 0.250 0.250 0.250

# TlBiF4 | Alexandria | PBE | optimized geometry
# uncorrected energy: -4.526 eV per atom
# relative energy among the computed polymorphs: 9 meV per atom
# volume: 109.1 Å³ per cell
# energy relative to the elements, uncorrected: -2238 meV/atom
# D(E_F): 0.000 states/eV per cell
# spin magnetization: 0.00 μB per formula unit
data_TlBiF4
_chemical_formula_sum 'Tl1 Bi1 F4'
_space_group_name_H-M_alt 'P 1'
_space_group_IT_number 1
_space_group_name_Hall 'P 1'
_cell_length_a 4.035
_cell_length_b 4.035
_cell_length_c 6.702
_cell_angle_alpha 90.00
_cell_angle_beta 90.00
_cell_angle_gamma 90.00
loop_
_atom_site_label
_atom_site_type_symbol
_atom_site_fract_x
_atom_site_fract_y
_atom_site_fract_z
F1 F 0.500 0.000 0.697
F2 F 0.000 0.500 0.697
F3 F 0.500 0.000 0.303
F4 F 0.000 0.500 0.303
Tl1 Tl 0.000 0.000 0.000
Bi1 Bi 0.500 0.500 0.500

# TlBi3F | Alexandria | PBE | optimized geometry
# uncorrected energy: -3.482 eV per atom
# relative energy among the computed polymorphs: 0 meV per atom
# volume: 141.7 Å³ per cell
# energy relative to the elements, uncorrected: -306 meV/atom
# D(E_F): 4.152 states/eV per cell
# spin magnetization: 0.00 μB per formula unit
data_TlBi3F
_chemical_formula_sum 'Tl1 Bi3 F1'
_space_group_name_H-M_alt 'P 1'
_space_group_IT_number 1
_space_group_name_Hall 'P 1'
_cell_length_a 5.213
_cell_length_b 5.213
_cell_length_c 5.213
_cell_angle_alpha 90.00
_cell_angle_beta 90.00
_cell_angle_gamma 90.00
loop_
_atom_site_label
_atom_site_type_symbol
_atom_site_fract_x
_atom_site_fract_y
_atom_site_fract_z
F1 F 0.000 0.000 0.000
Bi1 Bi 0.000 0.000 0.500
Bi2 Bi 0.000 0.500 0.000
Bi3 Bi 0.500 0.000 0.000
Tl1 Tl 0.500 0.500 0.500

# Tl2BiF4 | Alexandria | PBE | optimized geometry
# uncorrected energy: -4.058 eV per atom
# volume: 162.8 Å³ per cell
# energy relative to the elements, uncorrected: -1758 meV/atom
# D(E_F): 2.726 states/eV per cell
# spin magnetization: 0.00 μB per formula unit
data_Tl2BiF4
_chemical_formula_sum 'Tl2 Bi1 F4'
_space_group_name_H-M_alt 'P 1'
_space_group_IT_number 1
_space_group_name_Hall 'P 1'
_cell_length_a 4.888
_cell_length_b 4.888
_cell_length_c 7.640
_cell_angle_alpha 71.34
_cell_angle_beta 71.34
_cell_angle_gamma 90.00
loop_
_atom_site_label
_atom_site_type_symbol
_atom_site_fract_x
_atom_site_fract_y
_atom_site_fract_z
F1 F 0.169 0.169 0.661
F2 F 0.831 0.831 0.339
F3 F 0.000 0.500 0.000
F4 F 0.500 0.000 0.000
Tl1 Tl 0.357 0.357 0.285
Tl2 Tl 0.643 0.643 0.715
Bi1 Bi 0.000 0.000 0.000